Entry 1:
# InW2Au

A relaxed InW2Au crystal (GGA-PBE, Alexandria).

a = 5.285 Å, b = 5.285 Å, c = 2.818 Å
α = 90.00°, β = 90.00°, γ = 117.12°
Element x y z (fractional)
In1 0.000 0.000 0.000
W1 0.000 0.500 0.500
W2 0.500 0.000 0.500
Au1 0.500 0.500 0.000

Values from the calculation:
* formation energy from the elements: 535 meV/atom
* E: -7.445 eV/atom
* symmetry: No. 65
* Fermi-level density of states: 1.21 states/eV/f.u.


Entry 2:
# In2WAu

A relaxed In2WAu crystal (GGA-PBE, Alexandria).

a = 9.732 Å, b = 9.732 Å, c = 9.732 Å
α = 18.09°, β = 18.09°, γ = 18.09°
Element x y z (fractional)
In1 0.250 0.250 0.250
In2 0.750 0.750 0.750
W1 0.000 0.000 0.000
Au1 0.500 0.500 0.500

Values from the calculation:
* formation energy from the elements: 375 meV/atom
* E: -5.052 eV/atom
* symmetry: No. 166
* distance to the lowest polymorph of the same formula: 0.033 eV per atom
* Fermi-level density of states: 2.02 states/eV/f.u.


Entry 3:
# InW2Au

A relaxed InW2Au crystal (GGA-PBE, Alexandria).

a = 2.814 Å, b = 4.526 Å, c = 5.507 Å
α = 90.00°, β = 90.00°, γ = 90.00°
Element x y z (fractional)
In1 0.000 0.000 0.000
W1 0.500 0.500 0.246
W2 0.500 0.500 0.754
Au1 0.000 0.000 0.500

Values from the calculation:
* formation energy from the elements: 547 meV/atom
* E: -7.433 eV/atom
* symmetry: No. 47
* Fermi-level density of states: 1.97 states/eV/f.u.


Entry 4:
# In2WAu

A relaxed In2WAu crystal (GGA-PBE, Alexandria).

a = 4.786 Å, b = 4.786 Å, c = 4.786 Å
α = 60.00°, β = 60.00°, γ = 60.00°
Element x y z (fractional)
In1 0.250 0.250 0.250
In2 0.750 0.750 0.750
W1 0.000 0.000 0.000
Au1 0.500 0.500 0.500

Values from the calculation:
* formation energy from the elements: 649 meV/atom
* E: -4.778 eV/atom
* symmetry: No. 225
* distance to the lowest polymorph of the same formula: 0.307 eV per atom
* Fermi-level density of states: 2.87 states/eV/f.u.


Entry 5:
# In4WAu

A relaxed In4WAu crystal (GGA-PBE, Alexandria).

a = 5.730 Å, b = 5.730 Å, c = 5.730 Å
α = 60.00°, β = 60.00°, γ = 60.00°
Element x y z (fractional)
In1 0.125 0.125 0.125
In2 0.125 0.125 0.625
In3 0.125 0.625 0.125
In4 0.625 0.125 0.125
W1 0.750 0.750 0.750
Au1 0.500 0.500 0.500

Values from the calculation:
* formation energy from the elements: 922 meV/atom
* E: -3.609 eV/atom
* symmetry: No. 216
* Fermi-level density of states: 5.06 states/eV/f.u.


Entry 6:
# InWAu4

A relaxed InWAu4 crystal (GGA-PBE, Alexandria).

a = 5.492 Å, b = 5.492 Å, c = 5.492 Å
α = 60.00°, β = 60.00°, γ = 60.00°
Element x y z (fractional)
In1 0.000 0.000 0.000
W1 0.750 0.750 0.750
Au1 0.375 0.375 0.375
Au2 0.375 0.375 0.874
Au3 0.375 0.874 0.375
Au4 0.874 0.375 0.375

Values from the calculation:
* formation energy from the elements: 623 meV/atom
* E: -4.177 eV/atom
* symmetry: No. 216
* Fermi-level density of states: 3.31 states/eV/f.u.


Entry 7:
# In2WAu

A relaxed In2WAu crystal (GGA-PBE, Alexandria).

a = 2.971 Å, b = 2.971 Å, c = 8.735 Å
α = 90.00°, β = 90.00°, γ = 90.00°
Element x y z (fractional)
In1 0.000 0.000 0.243
In2 0.000 0.000 0.757
W1 0.500 0.500 0.000
Au1 0.500 0.500 0.500

Values from the calculation:
* formation energy from the elements: 421 meV/atom
* E: -5.006 eV/atom
* symmetry: No. 123
* distance to the lowest polymorph of the same formula: 0.078 eV per atom
* Fermi-level density of states: 2.67 states/eV/f.u.


Entry 8:
# In2WAu

A relaxed In2WAu crystal (GGA-PBE, Alexandria).

a = 4.849 Å, b = 4.849 Å, c = 4.849 Å
α = 60.00°, β = 60.00°, γ = 60.00°
Element x y z (fractional)
In1 0.000 0.000 0.000
In2 0.250 0.250 0.250
W1 0.500 0.500 0.500
Au1 0.750 0.750 0.750

Values from the calculation:
* formation energy from the elements: 774 meV/atom
* E: -4.653 eV/atom
* symmetry: No. 216
* distance to the lowest polymorph of the same formula: 0.432 eV per atom
* Fermi-level density of states: 3.01 states/eV/f.u.


Entry 9:
# In2WAu

A relaxed In2WAu crystal (GGA-PBE, Alexandria).

a = 2.961 Å, b = 2.961 Å, c = 9.258 Å
α = 90.00°, β = 90.00°, γ = 90.00°
Element x y z (fractional)
In1 0.000 0.000 0.000
In2 0.500 0.500 0.300
W1 0.000 0.000 0.534
Au1 0.500 0.500 0.741

Values from the calculation:
* formation energy from the elements: 389 meV/atom
* E: -5.038 eV/atom
* symmetry: No. 99
* distance to the lowest polymorph of the same formula: 0.047 eV per atom
* Fermi-level density of states: 2.26 states/eV/f.u.


Entry 10:
# InW2Au

A relaxed InW2Au crystal (GGA-PBE, Alexandria).

a = 2.823 Å, b = 2.823 Å, c = 8.798 Å
α = 90.00°, β = 90.00°, γ = 90.15°
Element x y z (fractional)
In1 0.000 0.000 0.000
W1 0.500 0.500 0.258
W2 0.500 0.500 0.742
Au1 0.000 0.000 0.500

Values from the calculation:
* formation energy from the elements: 600 meV/atom
* E: -7.380 eV/atom
* symmetry: No. 65
* Fermi-level density of states: 2.68 states/eV/f.u.


Entry 11:
# In2WAu

A relaxed In2WAu crystal (GGA-PBE, Alexandria).

a = 5.737 Å, b = 5.737 Å, c = 5.737 Å
α = 149.31°, β = 124.88°, γ = 64.42°
Element x y z (fractional)
In1 0.247 0.247 0.000
In2 0.753 0.753 0.000
W1 0.500 0.000 0.500
Au1 0.000 0.500 0.500

Values from the calculation:
* formation energy from the elements: 525 meV/atom
* E: -4.901 eV/atom
* symmetry: No. 71
* distance to the lowest polymorph of the same formula: 0.183 eV per atom
* Fermi-level density of states: 3.34 states/eV/f.u.


Entry 12:
# In2WAu

A relaxed In2WAu crystal (GGA-PBE, Alexandria).

a = 5.122 Å, b = 3.012 Å, c = 5.478 Å
α = 90.00°, β = 113.89°, γ = 90.00°
Element x y z (fractional)
In1 0.000 0.000 0.000
In2 0.000 0.500 0.500
W1 0.500 0.000 0.500
Au1 0.500 0.500 0.000

Values from the calculation:
* formation energy from the elements: 396 meV/atom
* E: -5.031 eV/atom
* symmetry: No. 10
* distance to the lowest polymorph of the same formula: 0.053 eV per atom
* Fermi-level density of states: 1.66 states/eV/f.u.